VASP calculation (meta-GGA SCAN) on a PBEsol-optimized structure of GeMoH2Pt.

abc: 3.579 3.579 5.100
angles: 90.00 90.00 90.00
Element x y z (fractional)
Ge 0.500 0.500 0.500
H 0.500 0.000 0.000
H 0.000 0.500 0.000
Mo 0.000 0.000 0.000
Pt 0.000 0.000 0.500

Computed properties:
As for the space group: P4/mmm (123). Its total magnetization is 2.0 μB/f.u. As for the energy: -25.8368 eV per atom.



VASP calculation (meta-GGA SCAN) on a PBEsol-optimized structure of GeHNO2.

abc: 2.643 3.828 3.828
angles: 90.00 90.00 90.00
Element x y z (fractional)
O 0.000 0.500 0.000
O 0.000 0.000 0.500
Ge 0.500 0.500 0.500
H 0.000 0.000 0.000
N 0.500 0.000 0.000

Computed properties:
As for the space group: P4/mmm (123). Its total magnetization is 0.0 μB/f.u. As for the energy: -7.7847 eV per atom.



VASP calculation (meta-GGA SCAN) on a PBEsol-optimized structure of Ge3P6H42N12O25.

abc: 9.307 9.307 10.300
angles: 99.14 99.14 111.47
Element x y z (fractional)
H 0.009 0.338 0.519
H 0.454 0.233 0.123
H 0.338 0.009 0.519
H 0.994 0.664 0.312
H 0.664 0.994 0.312
H 0.324 0.324 0.482
H 0.578 0.911 0.015
H 0.152 0.264 0.361
H 0.071 0.510 0.640
H 0.212 0.100 0.876
H 0.510 0.071 0.640
H 0.100 0.212 0.876
H 0.327 0.327 0.312
H 0.434 0.879 0.877
H 0.900 0.788 0.124
H 0.121 0.566 0.123
H 0.089 0.422 0.985
H 0.736 0.848 0.639
H 0.244 0.244 0.015
H 0.006 0.336 0.688
H 0.264 0.152 0.361
H 0.662 0.991 0.481
H 0.848 0.736 0.639
H 0.566 0.121 0.123
H 0.911 0.578 0.015
H 0.546 0.767 0.877
H 0.767 0.546 0.877
H 0.490 0.929 0.360
H 0.820 0.604 0.361
H 0.604 0.820 0.361
H 0.673 0.673 0.688
H 0.233 0.454 0.123
H 0.336 0.006 0.688
H 0.879 0.434 0.877
H 0.180 0.396 0.639
H 0.396 0.180 0.639
H 0.991 0.662 0.481
H 0.756 0.756 0.985
H 0.422 0.089 0.985
H 0.929 0.490 0.360
H 0.788 0.900 0.124
H 0.676 0.676 0.518
O 0.298 0.964 0.344
O 0.504 0.668 0.128
O 0.036 0.702 0.656
O 0.002 0.171 0.128
O 0.272 0.939 0.821
O 0.665 0.162 0.872
O 0.394 0.394 0.179
O 0.606 0.606 0.821
O 0.162 0.665 0.872
O 0.829 0.998 0.872
O 0.332 0.496 0.872
O 0.370 0.370 0.656
O 0.939 0.272 0.821
O 0.728 0.061 0.179
O 0.171 0.002 0.128
O 0.630 0.630 0.344
O 0.061 0.728 0.179
O 0.335 0.838 0.128
O 0.496 0.332 0.872
O 0.838 0.335 0.128
O 0.000 0.000 0.500
O 0.998 0.829 0.872
O 0.964 0.298 0.344
O 0.702 0.036 0.656
O 0.668 0.504 0.128
P 0.455 0.455 0.803
P 0.545 0.545 0.197
P 0.121 0.788 0.804
P 0.212 0.879 0.196
P 0.788 0.121 0.804
P 0.879 0.212 0.196
N 0.825 0.492 0.934
N 0.268 0.268 0.380
N 0.508 0.175 0.066
N 0.492 0.825 0.934
N 0.395 0.066 0.620
N 0.605 0.934 0.380
N 0.934 0.605 0.380
N 0.175 0.508 0.066
N 0.732 0.732 0.620
N 0.158 0.158 0.934
N 0.066 0.395 0.620
N 0.842 0.842 0.066
Ge 0.000 0.000 0.000
Ge 0.666 0.334 0.000
Ge 0.334 0.666 0.000

Computed properties:
As for the space group: C2/m (12). Its total magnetization is 2.1 μB/f.u. As for the energy: -7.1782 eV per atom.



VASP calculation (meta-GGA SCAN) on a PBEsol-optimized structure of GeH2PtN.

abc: 3.411 3.411 4.291
angles: 90.00 90.00 90.00
Element x y z (fractional)
N 0.000 0.000 0.500
H 0.500 0.000 0.000
H 0.000 0.500 0.000
Ge 0.500 0.500 0.500
Pt 0.000 0.000 0.000

Computed properties:
As for the space group: P4/mmm (123). Its total magnetization is 0.0 μB/f.u. As for the energy: -20.5588 eV per atom.



VASP calculation (meta-GGA SCAN) on a PBEsol-optimized structure of GeH10Se3N4.

abc: 12.885 14.095 12.885
angles: 117.20 90.00 117.20
Element x y z (fractional)
N 0.134 0.754 0.006
N 0.620 0.754 0.748
N 0.555 0.674 0.011
N 0.694 0.787 0.512
N 0.498 0.254 0.870
N 0.094 0.787 0.275
N 0.716 0.264 0.491
N 0.413 0.174 0.369
N 0.120 0.754 0.506
N 0.025 0.287 0.344
N 0.048 0.264 0.991
N 0.241 0.764 0.966
N 0.741 0.764 0.298
N 0.024 0.764 0.466
N 0.548 0.264 0.774
N 0.913 0.174 0.305
N 0.055 0.674 0.163
N 0.261 0.174 0.869
N 0.619 0.674 0.511
N 0.998 0.254 0.884
N 0.194 0.787 0.775
N 0.594 0.787 0.012
N 0.525 0.287 0.444
N 0.256 0.254 0.370
N 0.762 0.287 0.844
N 0.634 0.754 0.248
N 0.756 0.254 0.384
N 0.119 0.674 0.663
N 0.761 0.174 0.805
N 0.216 0.264 0.274
N 0.262 0.287 0.944
N 0.524 0.764 0.798
H 0.700 0.836 0.807
H 0.429 0.121 0.288
H 0.830 0.342 0.818
H 0.192 0.121 0.788
H 0.488 0.184 0.689
H 0.774 0.842 0.580
H 0.622 0.683 0.754
H 0.345 0.196 0.355
H 0.091 0.696 0.095
H 0.636 0.272 0.486
H 0.004 0.183 0.811
H 0.351 0.196 0.855
H 0.179 0.183 0.372
H 0.459 0.622 0.985
H 0.561 0.683 0.254
H 0.929 0.121 0.333
H 0.012 0.342 0.318
H 0.687 0.836 0.031
H 0.281 0.336 0.899
H 0.285 0.344 0.274
H 0.122 0.683 0.429
H 0.568 0.842 0.080
H 0.636 0.272 0.786
H 0.038 0.621 0.679
H 0.778 0.336 0.386
H 0.036 0.772 0.386
H 0.024 0.844 0.535
H 0.959 0.622 0.137
H 0.663 0.622 0.485
H 0.083 0.621 0.179
H 0.136 0.272 0.286
H 0.236 0.772 0.886
H 0.557 0.336 0.950
H 0.439 0.684 0.738
H 0.524 0.844 0.809
H 0.245 0.684 0.947
H 0.845 0.196 0.341
H 0.636 0.836 0.307
H 0.274 0.842 0.762
H 0.735 0.122 0.709
H 0.059 0.344 0.070
H 0.187 0.836 0.305
H 0.851 0.196 0.841
H 0.235 0.122 0.913
H 0.330 0.342 0.024
H 0.061 0.683 0.929
H 0.887 0.122 0.209
H 0.820 0.844 0.309
H 0.559 0.344 0.774
H 0.149 0.836 0.805
H 0.697 0.184 0.495
H 0.512 0.342 0.524
H 0.163 0.622 0.637
H 0.197 0.184 0.189
H 0.536 0.772 0.886
H 0.649 0.836 0.531
H 0.555 0.336 0.399
H 0.105 0.696 0.595
H 0.781 0.336 0.937
H 0.136 0.836 0.028
H 0.387 0.122 0.413
H 0.200 0.836 0.528
H 0.136 0.272 0.986
H 0.055 0.336 0.437
H 0.736 0.772 0.386
H 0.605 0.696 0.601
H 0.068 0.842 0.262
H 0.278 0.336 0.450
H 0.320 0.844 0.035
H 0.692 0.121 0.833
H 0.988 0.184 0.995
H 0.591 0.696 0.101
H 0.057 0.336 0.886
H 0.504 0.183 0.872
H 0.583 0.621 0.942
H 0.538 0.621 0.442
H 0.939 0.684 0.447
H 0.679 0.183 0.311
H 0.785 0.344 0.570
H 0.745 0.684 0.238
Se 0.268 0.521 0.604
Se 0.253 0.521 0.917
Se 0.272 0.263 0.641
Se 0.004 0.002 0.345
Se 0.491 0.263 0.141
Se 0.768 0.521 0.417
Se 0.595 0.502 0.748
Se 0.407 0.502 0.248
Se 0.354 0.021 0.518
Se 0.907 0.502 0.754
Se 0.991 0.263 0.622
Se 0.891 0.763 0.741
Se 0.391 0.763 0.522
Se 0.372 0.763 0.241
Se 0.998 0.002 0.657
Se 0.167 0.021 0.018
Se 0.667 0.021 0.503
Se 0.504 0.002 0.157
Se 0.498 0.002 0.845
Se 0.854 0.021 0.003
Se 0.772 0.263 0.122
Se 0.872 0.763 0.022
Se 0.095 0.502 0.254
Se 0.753 0.521 0.104
Ge 0.957 0.913 0.957
Ge 0.556 0.112 0.056
Ge 0.306 0.612 0.306
Ge 0.707 0.413 0.207
Ge 0.056 0.112 0.556
Ge 0.806 0.612 0.806
Ge 0.207 0.413 0.707
Ge 0.457 0.913 0.457

Computed properties:
As for the space group: I4_1cd (110). Its total magnetization is 0.0 μB/f.u. As for the energy: -8.6099 eV per atom.



VASP calculation (meta-GGA SCAN) on a PBEsol-optimized structure of GeTeHN2.

abc: 3.428 4.145 4.145
angles: 90.00 90.00 90.00
Element x y z (fractional)
Ge 0.500 0.500 0.500
Te 0.500 0.000 0.000
N 0.000 0.500 0.000
N 0.000 0.000 0.500
H 0.000 0.000 0.000

Computed properties:
As for the space group: P4/mmm (123). Its total magnetization is 1.6 μB/f.u. As for the energy: -13.7293 eV per atom.



VASP calculation (meta-GGA SCAN) on a PBEsol-optimized structure of Na2GeH14S3O7.

abc: 6.979 9.204 10.057
angles: 93.44 95.12 105.09
Element x y z (fractional)
S 0.782 0.483 0.063
S 0.226 0.520 0.304
S 0.774 0.480 0.696
S 0.007 0.167 0.082
S 0.218 0.517 0.937
S 0.993 0.833 0.918
Ge 0.064 0.407 0.112
Ge 0.936 0.593 0.888
H 0.514 0.663 0.246
H 0.541 0.254 0.053
H 0.229 0.741 0.224
H 0.459 0.746 0.947
H 0.282 0.321 0.813
H 0.718 0.679 0.187
H 0.319 0.166 0.073
H 0.838 0.165 0.892
H 0.141 0.944 0.297
H 0.426 0.856 0.607
H 0.486 0.337 0.754
H 0.859 0.056 0.703
H 0.956 0.924 0.724
H 0.950 0.357 0.572
H 0.443 0.635 0.494
H 0.574 0.144 0.393
H 0.397 0.353 0.382
H 0.063 0.371 0.441
H 0.937 0.629 0.559
H 0.557 0.365 0.506
H 0.771 0.259 0.776
H 0.162 0.835 0.108
H 0.801 0.164 0.419
H 0.199 0.836 0.581
H 0.681 0.834 0.927
H 0.603 0.647 0.618
H 0.050 0.643 0.428
H 0.044 0.076 0.276
O 0.325 0.913 0.620
O 0.642 0.738 0.237
O 0.453 0.152 0.059
O 0.459 0.292 0.443
O 0.541 0.708 0.557
O 0.753 0.154 0.804
O 0.070 0.010 0.346
O 0.247 0.846 0.196
O 0.547 0.848 0.941
O 0.358 0.262 0.763
O 0.000 0.298 0.504
O 0.675 0.087 0.380
O 0.930 0.990 0.654
O 0.000 0.702 0.496
Na 0.209 0.129 0.556
Na 0.587 0.972 0.162
Na 0.413 0.028 0.838
Na 0.791 0.871 0.444

Computed properties:
As for the space group: P-1 (2). Its total magnetization is 0.0 μB/f.u. As for the energy: -6.5360 eV per atom.



VASP calculation (meta-GGA SCAN) on a PBEsol-optimized structure of Na2SnGe2H2O8.

abc: 5.534 5.880 11.375
angles: 88.08 79.90 75.52
Element x y z (fractional)
Ge 0.680 0.282 0.250
Ge 0.826 0.561 0.875
Ge 0.320 0.718 0.750
Ge 0.174 0.439 0.125
O 0.668 0.247 0.403
O 0.795 0.021 0.169
O 0.332 0.753 0.597
O 0.205 0.979 0.831
O 0.256 0.165 0.055
O 0.744 0.835 0.945
O 0.779 0.325 0.965
O 0.328 0.944 0.360
O 0.672 0.056 0.640
O 0.221 0.675 0.035
O 0.632 0.555 0.765
O 0.859 0.498 0.210
O 0.368 0.445 0.235
O 0.807 0.731 0.437
O 0.193 0.269 0.563
O 0.141 0.502 0.790
Na 0.766 0.415 0.563
Na 0.234 0.585 0.437
Na 0.489 0.824 0.152
Na 0.511 0.176 0.848
Sn 0.500 0.000 0.500
Sn 0.000 0.000 0.000
H 0.194 0.310 0.646
H 0.150 0.032 0.376
H 0.806 0.690 0.354
H 0.850 0.968 0.624

Computed properties:
As for the space group: P-1 (2). Its total magnetization is 0.0 μB/f.u. As for the energy: -11.0303 eV per atom.



VASP calculation (meta-GGA SCAN) on a PBEsol-optimized structure of NaGeP2H.

abc: 4.613 4.613 5.780
angles: 90.00 90.00 90.00
Element x y z (fractional)
P 0.000 0.500 0.000
P 0.500 0.000 0.000
H 0.500 0.500 0.500
Ge 0.000 0.000 0.000
Na 0.000 0.000 0.500

Computed properties:
As for the space group: P4/mmm (123). Its total magnetization is 1.0 μB/f.u. As for the energy: -8.5659 eV per atom.



VASP calculation (meta-GGA SCAN) on a PBEsol-optimized structure of Nb2GeH2.

abc: 3.224 3.224 5.817
angles: 106.09 106.09 90.00
Element x y z (fractional)
Nb 0.636 0.636 0.273
Nb 0.364 0.364 0.727
H 0.250 0.750 0.500
H 0.750 0.250 0.500
Ge 0.000 0.000 0.000

Computed properties:
As for the space group: I4/mmm (139). Its total magnetization is 0.0 μB/f.u. As for the energy: -18.7217 eV per atom.



VASP calculation (meta-GGA SCAN) on a PBEsol-optimized structure of Ni3GeH.

abc: 4.287 4.287 4.287
angles: 90.00 90.00 90.00
Element x y z (fractional)
Ni 0.000 0.000 0.500
Ni 0.000 0.500 0.000
Ni 0.500 0.000 0.000
H 0.500 0.500 0.500
Ge 0.000 0.000 0.000

Computed properties:
As for the space group: Pm-3m (221). Its total magnetization is 0.0 μB/f.u. As for the energy: -12.8885 eV per atom.



VASP calculation (meta-GGA SCAN) on a PBEsol-optimized structure of Ni3GeH.

abc: 3.582 3.582 3.582
angles: 90.00 90.00 90.00
Element x y z (fractional)
H 0.000 0.000 0.000
Ni 0.000 0.000 0.500
Ni 0.500 0.000 0.000
Ni 0.000 0.500 0.000
Ge 0.500 0.500 0.500

Computed properties:
As for the space group: Pm-3m (221). Its total magnetization is 0.0 μB/f.u. As for the energy: -14.4240 eV per atom.